Tl2FeC2O6: relaxed, PBE+U.

Values from the calculation:
For the total magnetization, the calculation gives 0.364 μB per atom. The volume is 167.9 Å³ per cell. As for the energy: -72.59 eV/f.u. Its crystal system is monoclinic. The calculation puts the density of states at the Fermi level at 0.0000 states/eV/atom.

a b c (Å): 5.2255 5.2255 7.6920
angles (deg): 109.56 109.56 60.09
Closest atoms and distances in Å follow each position.
Fractional coordinates of all 11 atoms:
Tl (0.2182, 0.2182, 0.1565)  6 O 2.86-2.87
Tl (0.7818, 0.7818, 0.8435)  6 O 2.86-2.87
Fe (0.0000, 0.0000, 0.5000)  6 O 2.14-2.17
C (0.3936, 0.3936, 0.6760)  3 O 1.30
C (0.6064, 0.6064, 0.3240)  3 O 1.30
O (0.2522, 0.2522, 0.6819)  1 C 1.30
O (0.2528, 0.6825, 0.6815)  1 C 1.30
O (0.3175, 0.7472, 0.3185)  1 C 1.30
O (0.6825, 0.2528, 0.6815)  1 C 1.30
O (0.7472, 0.3175, 0.3185)  1 C 1.30
O (0.7478, 0.7478, 0.3181)  1 C 1.30